[1]
Entry from the Alexandria database: a relaxed Li2PmPr2In2 crystal (PBE).

Cell and atoms, written as POSCAR:
```
Li2PmPr2In2
1.0
2.4855 1.4350 8.9406
-2.4855 1.4350 8.9406
0.0000 -2.8700 8.9406
Li Pm Pr In
2 1 2 2
direct
0.1080 0.1080 0.1080
0.8920 0.8920 0.8920
0.5000 0.5000 0.5000
0.3724 0.3724 0.3724
0.6276 0.6276 0.6276
0.2348 0.2348 0.2348
0.7652 0.7652 0.7652
```

SG: R-3m (166)
ΔH_f (0 K): -0.257 eV per atom
Density of states at the Fermi level: 0.820 states/eV/atom

[2]
Entry from the Alexandria database: a relaxed SrCN2O crystal (PBE).

Cell and atoms, written as POSCAR:
```
SrCN2O
1.0
3.2420 0.0000 0.0000
0.0000 3.2420 0.0000
0.0000 0.0000 5.8509
Sr C N O
1 1 2 1
direct
0.0000 0.0000 0.0000
0.5000 0.5000 0.5000
0.0000 0.5000 0.5000
0.5000 0.0000 0.5000
0.5000 0.5000 0.0000
```

SG: P4/mmm (123)
Density of states at the Fermi level: 0.701 states/eV/atom
VASP energy: -0.41220 Ry/atom

[3]
Entry from the Alexandria database: a relaxed Na2PaNbO6 crystal (PBE).

Cell and atoms, written as POSCAR:
```
Na2PaNbO6
1.0
5.8604 0.0000 0.0000
0.0000 5.8604 0.0000
0.0000 0.0000 4.3483
Na Pa Nb O
2 1 1 6
direct
0.0000 0.5000 0.0000
0.5000 0.0000 0.0000
0.0000 0.0000 0.6128
0.5000 0.5000 0.5643
0.0000 0.0000 0.1185
0.2614 0.2614 0.6511
0.2614 0.7386 0.6511
0.5000 0.5000 0.1444
0.7386 0.2614 0.6511
0.7386 0.7386 0.6511
```

SG: P4mm (99)
Density of states at the Fermi level: 0.000 states/eV/atom
VASP energy: -0.58154 Ry/atom

[4]
Entry from the Alexandria database: a relaxed SrReP2Os crystal (PBE).

Cell and atoms, written as POSCAR:
```
SrReP2Os
1.0
4.0848 0.0000 0.0000
0.0000 4.0848 0.0000
0.0000 0.0000 11.3891
Sr Re P Os
2 2 4 2
direct
0.0000 0.0000 0.0000
0.5000 0.5000 0.5000
0.0000 0.5000 0.7500
0.5000 0.0000 0.2500
0.0000 0.0000 0.3539
0.0000 0.0000 0.6461
0.5000 0.5000 0.1461
0.5000 0.5000 0.8539
0.0000 0.5000 0.2500
0.5000 0.0000 0.7500
```

SG: I-4m2 (119)
ΔH_f (0 K): -0.557 eV per atom
Density of states at the Fermi level: 0.676 states/eV/atom